Entry 1:
Mn2FeAg: relaxed, PBE-GGA.

a = 2.6291 Å, b = 3.6735 Å, c = 5.5185 Å
α = 90.00°, β = 90.00°, γ = 90.00°
Last column: magnetic moment on the atom in μB.
Positions (direct):
Mn: 0.0000 0.0000 0.9672  2.41
Mn: 0.0000 0.0000 0.5328  2.41
Fe: 0.5000 0.5000 0.7500  -1.95
Ag: 0.5000 0.5000 0.2500  0.05

Calculated values
The formation energy is 0.40 eV per atom. Its space group is Pmmm, No. 47. The value obtained for the energy relative to the lowest polymorph listed for this composition is 0.128 eV per atom. The calculation puts the volume at 53.3 Å³ per cell.

=====

Entry 2:
Mn2FeAg: relaxed, PBE-GGA.

a = 8.8930 Å, b = 8.8930 Å, c = 8.8930 Å
α = 16.85°, β = 16.85°, γ = 16.85°
Last column: magnetic moment on the atom in μB.
Positions (direct):
Fe: 0.7500 0.7500 0.7500  -1.89
Mn: 0.4915 0.4915 0.4915  1.51
Ag: 0.2500 0.2500 0.2500  -0.02
Mn: 0.0085 0.0085 0.0085  1.51

Calculated values
The formation energy is 0.41 eV per atom. Its space group is R-3m, No. 166. The value obtained for the energy relative to the lowest polymorph listed for this composition is 0.132 eV per atom. The calculation puts the volume at 51.6 Å³ per cell.

=====

Entry 3:
Mn2FeAg: relaxed, PBE-GGA.

a = 4.7075 Å, b = 4.7075 Å, c = 4.7098 Å
α = 130.94°, β = 130.93°, γ = 71.87°
Last column: magnetic moment on the atom in μB.
Positions (direct):
Mn: 0.4999 0.4999 0.0000  3.46
Ag: 0.7500 0.2500 0.5000  0.05
Mn: 0.0001 0.0001 0.0000  3.46
Fe: 0.2500 0.7500 0.5000  2.57

Calculated values
The formation energy is 0.44 eV per atom. Its space group is Fmmm, No. 69. The value obtained for the energy relative to the lowest polymorph listed for this composition is 0.167 eV per atom. The calculation puts the volume at 58.3 Å³ per cell.

=====

Entry 4:
MnFe4Ag: relaxed, PBE-GGA.

a = 4.8022 Å, b = 4.8022 Å, c = 4.8022 Å
α = 60.00°, β = 60.00°, γ = 60.00°
Last column: magnetic moment on the atom in μB.
Positions (direct):
Fe: 0.8715 0.3762 0.3762  2.11
Fe: 0.3762 0.3762 0.3762  2.11
Mn: 0.7500 0.7500 0.7500  3.50
Ag: 0.0000 0.0000 0.0000  0.05
Fe: 0.3762 0.8715 0.3762  2.11
Fe: 0.3762 0.3762 0.8715  2.11

Calculated values
The formation energy is 0.28 eV per atom. Its space group is F-43m, No. 216. The calculation puts the volume at 78.3 Å³ per cell.

=====

Entry 5:
Mn2FeAg: relaxed, PBE-GGA.

a = 4.8233 Å, b = 4.8233 Å, c = 4.7308 Å
α = 78.72°, β = 78.72°, γ = 33.33°
Last column: magnetic moment on the atom in μB.
Positions (direct):
Mn: 0.2499 0.2499 0.2554  3.52
Ag: 0.4960 0.4960 0.4861  0.05
Fe: 0.7471 0.7471 0.7843  2.70
Mn: 0.0070 0.0070 0.9741  3.48

Calculated values
The formation energy is 0.43 eV per atom. Its space group is Cm, No. 8. The value obtained for the energy relative to the lowest polymorph listed for this composition is 0.152 eV per atom. The calculation puts the volume at 59.2 Å³ per cell.

=====

Entry 6:
Mn2FeAg: relaxed, PBE-GGA.

a = 4.0534 Å, b = 4.0540 Å, c = 3.5581 Å
α = 90.00°, β = 90.00°, γ = 90.00°
Last column: magnetic moment on the atom in μB.
Positions (direct):
Mn: 0.5000 0.5000 0.0000  3.50
Ag: 0.5000 0.0000 0.5000  0.08
Mn: 0.0000 0.0000 0.0000  3.50
Fe: 0.0000 0.5000 0.5000  2.63

Calculated values
The formation energy is 0.43 eV per atom. Its space group is P4/mmm, No. 123. The value obtained for the energy relative to the lowest polymorph listed for this composition is 0.152 eV per atom. The calculation puts the volume at 58.5 Å³ per cell.

=====

Entry 7:
Mn2FeAg: relaxed, PBE-GGA.

a = 4.4425 Å, b = 4.4425 Å, c = 2.9565 Å
α = 90.00°, β = 90.00°, γ = 90.00°
Last column: magnetic moment on the atom in μB.
Positions (direct):
Fe: 0.0000 0.5000 0.5000  2.52
Mn: 0.5000 0.5000 0.0000  3.50
Ag: 0.5000 0.0000 0.5000  0.10
Mn: 0.0000 0.0000 0.0000  3.50

Calculated values
The formation energy is 0.43 eV per atom. Its space group is P4/mmm, No. 123. The value obtained for the energy relative to the lowest polymorph listed for this composition is 0.155 eV per atom. The calculation puts the volume at 58.3 Å³ per cell.

=====

Entry 8:
Mn2FeAg: relaxed, PBE-GGA.

a = 4.5632 Å, b = 4.5632 Å, c = 4.6086 Å
α = 79.29°, β = 79.29°, γ = 33.88°
Last column: magnetic moment on the atom in μB.
Positions (direct):
Mn: 0.4898 0.4898 0.5444  -1.67
Ag: 0.2500 0.2500 0.2500  -0.02
Mn: 0.0102 0.0102 0.9556  -1.67
Fe: 0.7500 0.7500 0.7500  2.19

Calculated values
The formation energy is 0.48 eV per atom. Its space group is C2/m, No. 12. The value obtained for the energy relative to the lowest polymorph listed for this composition is 0.204 eV per atom. The calculation puts the volume at 52.5 Å³ per cell.

=====

Entry 9:
Mn2FeAg: relaxed, PBE-GGA.

a = 6.6922 Å, b = 6.6922 Å, c = 5.3867 Å
α = 51.60°, β = 51.60°, γ = 90.00°
Last column: magnetic moment on the atom in μB.
Positions (direct):
Fe: 0.2500 0.7500 0.5000  -1.69
Mn: 0.5765 0.1250 0.2500  2.38
Mn: 0.3750 0.4235 0.7500  2.42
Fe: 0.5000 0.5000 0.0000  -1.71
Ag: 0.0000 0.0000 0.0000  0.00
Mn: 0.1735 0.6250 0.2500  2.37
Ag: 0.7500 0.2500 0.5000  -0.01
Mn: 0.8750 0.8265 0.7500  2.39

Calculated values
The formation energy is 0.77 eV per atom. Its space group is I-42d, No. 122. The value obtained for the energy relative to the lowest polymorph listed for this composition is 0.492 eV per atom. The calculation puts the volume at 115.3 Å³ per cell.

=====

Entry 10:
Mn2Fe2Ag: relaxed, PBE-GGA.

a = 6.9282 Å, b = 6.9282 Å, c = 2.5279 Å
α = 90.00°, β = 90.00°, γ = 90.00°
Positions (direct):
Mn: 0.1200 0.3800 0.0000
Fe: 0.6645 0.8355 0.5000
Mn: 0.6200 0.1200 0.0000
Mn: 0.8800 0.6200 0.0000
Ag: 0.5000 0.5000 0.0000
Fe: 0.3355 0.1645 0.5000
Fe: 0.8355 0.3355 0.5000
Mn: 0.3800 0.8800 0.0000
Fe: 0.1645 0.6645 0.5000
Ag: 0.0000 0.0000 0.0000

Calculated values
The formation energy is 0.37 eV per atom. Its space group is P4/mbm, No. 127. The value obtained for the energy relative to the lowest polymorph listed for this composition is 0.012 eV per atom. The calculation puts the volume at 121.3 Å³ per cell.

=====

Entry 11:
Mn2FeAg: relaxed, PBE-GGA.

a = 5.1589 Å, b = 5.1589 Å, c = 5.1589 Å
α = 145.19°, β = 130.88°, γ = 61.60°
Last column: magnetic moment on the atom in μB.
Positions (direct):
Mn: 0.7506 0.2506 0.5000  3.40
Fe: 0.2458 0.7458 0.5000  2.68
Ag: 0.4950 0.4950 0.0000  0.09
Mn: 0.0086 0.0086 0.0000  3.56

Calculated values
The formation energy is 0.45 eV per atom. Its space group is Imm2, No. 44. The value obtained for the energy relative to the lowest polymorph listed for this composition is 0.172 eV per atom. The calculation puts the volume at 58.6 Å³ per cell.

=====

Entry 12:
Mn2FeAg: relaxed, PBE-GGA.

a = 4.8570 Å, b = 4.8570 Å, c = 4.8570 Å
α = 134.08°, β = 134.08°, γ = 66.96°
Last column: magnetic moment on the atom in μB.
Positions (direct):
Ag: 0.5000 0.5000 0.0000  0.05
Mn: 0.0000 0.0000 0.0000  3.46
Mn: 0.2500 0.7500 0.5000  3.38
Fe: 0.7500 0.2500 0.5000  2.65

Calculated values
The formation energy is 0.45 eV per atom. Its space group is I-4m2, No. 119. The value obtained for the energy relative to the lowest polymorph listed for this composition is 0.169 eV per atom. The calculation puts the volume at 58.2 Å³ per cell.

=====

Entry 13:
Mn2FeAg: relaxed, PBE-GGA.

a = 4.3115 Å, b = 4.3115 Å, c = 4.3115 Å
α = 60.00°, β = 60.00°, γ = 60.00°
Last column: magnetic moment on the atom in μB.
Positions (direct):
Mn: 0.7500 0.7500 0.7500  3.40
Mn: 0.2500 0.2500 0.2500  3.40
Ag: 0.5000 0.5000 0.5000  0.12
Fe: 0.0000 0.0000 0.0000  1.90

Calculated values
The formation energy is 0.45 eV per atom. Its space group is Fm-3m, No. 225. The value obtained for the energy relative to the lowest polymorph listed for this composition is 0.176 eV per atom. The calculation puts the volume at 56.7 Å³ per cell.

=====

Entry 14:
Mn2Fe2Ag: relaxed, PBE-GGA.

a = 6.9012 Å, b = 6.9012 Å, c = 2.5330 Å
α = 90.00°, β = 90.00°, γ = 90.00°
Positions (direct):
Ag: 0.0000 0.0000 0.0000
Fe: 0.6235 0.1235 0.0000
Mn: 0.8360 0.3360 0.5000
Fe: 0.1235 0.3765 0.0000
Ag: 0.5000 0.5000 0.0000
Mn: 0.3360 0.1640 0.5000
Fe: 0.8765 0.6235 0.0000
Mn: 0.6640 0.8360 0.5000
Mn: 0.1640 0.6640 0.5000
Fe: 0.3765 0.8765 0.0000

Calculated values
The formation energy is 0.35 eV per atom. Its space group is P4/mbm, No. 127. The value obtained for the energy relative to the lowest polymorph listed for this composition is 0.000 eV per atom. The calculation puts the volume at 120.6 Å³ per cell.

=====

Entry 15:
Mn2FeAg: relaxed, PBE-GGA.

a = 2.6641 Å, b = 3.6944 Å, c = 5.4830 Å
α = 90.00°, β = 90.00°, γ = 90.00°
Last column: magnetic moment on the atom in μB.
Positions (direct):
Mn: 0.5000 0.5000 0.2208  2.79
Ag: 0.0000 0.0000 0.5030  0.03
Mn: 0.0000 0.0000 0.9974  -2.55
Fe: 0.5000 0.5000 0.7788  2.20

Calculated values
The formation energy is 0.32 eV per atom. Its space group is Pmm2, No. 25. The value obtained for the energy relative to the lowest polymorph listed for this composition is 0.044 eV per atom. The calculation puts the volume at 54.0 Å³ per cell.